A plane-wave DFT calculation with PBE was carried out for crystalline TiAg2O at its relaxed geometry.

Properties
As for the volume: 74.4 Å³/f.u. Its uncorrected formation energy is -169 kJ/mol of formula units. The calculated total energy is -81.22 eV for the cell shown.

Cell lengths 8.897, 8.897, 3.760 Å; angles 90.00, 90.00, 90.00 degrees
Space group I-42d (No. 122)
Symmetry-distinct sites (fractional):
Ti  0.000  0.000  0.000 x4
Ag  0.141  0.250  0.625 x8
O  0.000  0.000  0.500 x4